CoNi7Sn2Sb2: optimized geometry, PBE.

Final energy, eV/atom: -5.38
Total magnetization, Bohr magnetons per cell: 3.93
Formation energy (no corrections), eV/atom: -0.06

a = 3.567 Å, b = 3.567 Å, c = 15.713 Å
α = 83.57°, β = 83.57°, γ = 90.00°
Site moments in Bohr magnetons follow the coordinates.
Fractional coordinates of all 12 atoms:
Ni1 0.305 0.305 0.390  0.01
Sb1 0.612 0.612 0.771  0.00
Ni2 0.554 0.054 0.888  0.40
Sb2 0.388 0.388 0.229  0.00
Ni3 0.946 0.446 0.112  0.40
Ni4 0.500 0.500 0.000  0.54
Sn1 0.215 0.215 0.569  0.00
Co1 0.000 0.000 0.000  1.91
Ni5 0.054 0.554 0.888  0.40
Sn2 0.785 0.785 0.431  0.00
Ni6 0.446 0.946 0.112  0.40
Ni7 0.695 0.695 0.610  0.01